Record 1
## LiAl6Tc2 (PBE)

Data for a relaxed LiAl6Tc2 crystal.

Calculated values
N(E_F): 21.765 states/eV/cell
Spin magnetization: 0.000 μB per formula unit
Energy of formation: -11.7 kJ per mole of atoms
Total DFT energy (no corrections): -184.79 eV per cell
Calculated volume: 17.861 Å³ per atom

Lattice parameters (Å, degrees): 16.589 7.143 5.740 90.00 109.04 90.00
Space group C2/c (No. 15)
One atom of each set of equivalent atoms:
Li: 0.000 0.104 0.250 (multiplicity 4)
Al: 0.081 0.477 0.555 (multiplicity 8)
Al: 0.147 0.141 0.699 (multiplicity 8)
Al: 0.189 0.218 0.272 (multiplicity 8)
Tc: 0.215 0.445 0.951 (multiplicity 8)

=====

Record 2
## LiAlTc2 (PBE)

Data for a relaxed LiAlTc2 crystal.

Calculated values
N(E_F): 9.316 states/eV/cell
Spin magnetization: 0.000 μB per formula unit
Energy of formation: 7.7 kJ per mole of atoms
Total DFT energy (no corrections): -78.21 eV per cell
Calculated volume: 14.652 Å³ per atom

Lattice parameters (Å, degrees): 2.7406 2.7406 27.0316 90.00 90.00 120.00
Space group R-3m (No. 166, hexagonal axes)
One atom of each set of equivalent atoms:
Li: 0.0000 0.0000 0.0000 (multiplicity 3)
Al: 0.0000 0.0000 0.5000 (multiplicity 3)
Tc: 0.0000 0.0000 0.2462 (multiplicity 6)

=====

Record 3
## LiTmAlTc (PBE)

Data for a relaxed LiTmAlTc crystal.

Calculated values
N(E_F): 6.199 states/eV/cell
Spin magnetization: 0.000 μB per formula unit
Energy of formation: -11.1 kJ per mole of atoms
Total DFT energy (no corrections): -83.81 eV per cell
Calculated volume: 17.196 Å³ per atom

Lattice parameters (Å, degrees): 6.504 6.504 6.504 90.00 90.00 90.00
Space group F-43m (No. 216)
One atom of each set of equivalent atoms:
Li: 0.000 0.000 0.000 (multiplicity 4)
Tm: 0.250 0.250 0.750 (multiplicity 4)
Al: 0.250 0.250 0.250 (multiplicity 4)
Tc: 0.000 0.000 0.500 (multiplicity 4)

=====

Record 4
## LiAlTcW (PBE)

Data for a relaxed LiAlTcW crystal.

Calculated values
N(E_F): 13.911 states/eV/cell
Spin magnetization: 0.000 μB per formula unit
Energy of formation: -11.0 kJ per mole of atoms
Total DFT energy (no corrections): -117.73 eV per cell
Calculated volume: 14.246 Å³ per atom

Lattice parameters (Å, degrees): 6.108 6.108 6.108 90.00 90.00 90.00
Space group F-43m (No. 216)
One atom of each set of equivalent atoms:
Li: 0.000 0.000 0.000 (multiplicity 4)
Al: 0.250 0.250 0.750 (multiplicity 4)
Tc: 0.000 0.000 0.500 (multiplicity 4)
W: 0.250 0.250 0.250 (multiplicity 4)

=====

Record 5
## LiYAlTc2 (PBE)

Data for a relaxed LiYAlTc2 crystal.

Calculated values
N(E_F): 5.794 states/eV/cell
Spin magnetization: 0.001 μB per formula unit
Energy of formation: 96.0 kJ per mole of atoms
Total DFT energy (no corrections): -27.88 eV per cell
Calculated volume: 22.132 Å³ per atom

Lattice parameters (Å, degrees): 4.578 4.578 5.279 90.00 90.00 90.00
Space group P4/mmm (No. 123)
One atom of each set of equivalent atoms:
Li: 0.000 0.000 0.000 (multiplicity 1)
Y: 0.500 0.500 0.000 (multiplicity 1)
Al: 0.500 0.500 0.500 (multiplicity 1)
Tc: 0.000 0.500 0.500 (multiplicity 2)

=====

Record 6
## LiAlTe2 (PBE)

Data for a relaxed LiAlTe2 crystal.

Calculated values
N(E_F): 8.993 states/eV/cell
Spin magnetization: 0.000 μB per formula unit
Raw formation energy: 0.093 eV/atom
Total DFT energy (no corrections): -46.27 eV per cell
Calculated volume: 25.365 Å³ per atom

Lattice parameters (Å, degrees): 7.404 7.404 7.404 90.00 90.00 90.00
Space group F-43m (No. 216)
One atom of each set of equivalent atoms:
Li: 0.000 0.000 0.000 (multiplicity 4)
Al: 0.250 0.250 0.250 (multiplicity 4)
Te: 0.000 0.000 0.500 (multiplicity 4)
Te: 0.250 0.250 0.750 (multiplicity 4)

=====

Record 7
## Li2AlTe (PBE)

Data for a relaxed Li2AlTe crystal.

Calculated values
N(E_F): 2.851 states/eV/cell
Offset from the most stable computed form: 8.5 kJ/mol of atoms
Spin magnetization: 0.000 μB per formula unit
Raw formation energy: -0.315 eV/atom
Total DFT energy (no corrections): -11.97 eV per cell
Calculated volume: 20.213 Å³ per atom

Lattice parameters (Å, degrees): 3.692 3.692 5.931 90.00 90.00 90.00
Space group P4/mmm (No. 123)
One atom of each set of equivalent atoms:
Li: 0.000 0.000 0.245 (multiplicity 2)
Al: 0.500 0.500 0.500 (multiplicity 1)
Te: 0.500 0.500 0.000 (multiplicity 1)

=====

Record 8
## LiAlTe2 (PBE)

Data for a relaxed LiAlTe2 crystal.

Calculated values
N(E_F): 1.127 states/eV/cell
Spin magnetization: 0.000 μB per formula unit
Raw formation energy: -0.599 eV/atom
Total DFT energy (no corrections): -28.67 eV per cell
Calculated volume: 24.712 Å³ per atom

Lattice parameters (Å, degrees): 6.999 4.040 7.368 90.00 108.36 90.00
Space group C2/m (No. 12)
One atom of each set of equivalent atoms:
Li: 0.000 0.000 0.000 (multiplicity 2)
Al: 0.000 0.500 0.500 (multiplicity 2)
Te: 0.242 0.000 0.727 (multiplicity 4)

=====

Record 9
## LiAlTe2 (PBE)

Data for a relaxed LiAlTe2 crystal.

Calculated values
N(E_F): 1.109 states/eV/cell
Spin magnetization: 0.000 μB per formula unit
Raw formation energy: -0.110 eV/atom
Total DFT energy (no corrections): -12.38 eV per cell
Calculated volume: 27.514 Å³ per atom

Lattice parameters (Å, degrees): 3.317 3.317 10.003 90.00 90.00 90.00
Space group P4mm (No. 99)
One atom of each set of equivalent atoms:
Li: 0.000 0.000 0.000 (multiplicity 1)
Al: 0.500 0.500 0.757 (multiplicity 1)
Te: 0.000 0.000 0.581 (multiplicity 1)
Te: 0.500 0.500 0.191 (multiplicity 1)

=====

Record 10
## LiAlTe2 (PBE)

Data for a relaxed LiAlTe2 crystal.

Calculated values
N(E_F): 1.422 states/eV/cell
Spin magnetization: 0.000 μB per formula unit
Raw formation energy: -0.421 eV/atom
Total DFT energy (no corrections): -27.25 eV per cell
Calculated volume: 26.039 Å³ per atom

Lattice parameters (Å, degrees): 4.009 3.630 14.316 90.00 90.00 90.00
Space group Amm2 (No. 38)
One atom of each set of equivalent atoms:
Li: 0.000 0.000 0.000 (multiplicity 2)
Al: 0.500 0.000 0.222 (multiplicity 2)
Te: 0.000 0.000 0.804 (multiplicity 2)
Te: 0.500 0.000 0.570 (multiplicity 2)

=====

Record 11
## LiAlTe2 (PBE)

Data for a relaxed LiAlTe2 crystal.

Calculated values
N(E_F): 6.623 states/eV/cell
Spin magnetization: 0.000 μB per formula unit
Raw formation energy: -0.082 eV/atom
Total DFT energy (no corrections): -36.80 eV per cell
Calculated volume: 24.061 Å³ per atom

Lattice parameters (Å, degrees): 3.3335 3.3335 30.0024 90.00 90.00 120.00
Space group R-3m (No. 166, hexagonal axes)
One atom of each set of equivalent atoms:
Li: 0.0000 0.0000 0.0000 (multiplicity 3)
Al: 0.0000 0.0000 0.5000 (multiplicity 3)
Te: 0.0000 0.0000 0.4040 (multiplicity 6)

=====

Record 12
## LiAlTe2 (PBE)

Data for a relaxed LiAlTe2 crystal.

Calculated values
N(E_F): 0.857 states/eV/cell
Spin magnetization: 0.000 μB per formula unit
Raw formation energy: -0.503 eV/atom
Total DFT energy (no corrections): -13.95 eV per cell
Calculated volume: 26.699 Å³ per atom

Lattice parameters (Å, degrees): 3.889 3.889 7.063 90.00 90.00 90.00
Space group P4mm (No. 99)
One atom of each set of equivalent atoms:
Li: 0.000 0.000 0.000 (multiplicity 1)
Al: 0.500 0.500 0.710 (multiplicity 1)
Te: 0.000 0.000 0.582 (multiplicity 1)
Te: 0.500 0.500 0.080 (multiplicity 1)

=====

Record 13
## LiAlTe2 (PBE)

Data for a relaxed LiAlTe2 crystal.

Calculated values
N(E_F): 2.019 states/eV/cell
Spin magnetization: 0.000 μB per formula unit
Raw formation energy: -0.102 eV/atom
Total DFT energy (no corrections): -24.70 eV per cell
Calculated volume: 26.460 Å³ per atom

Lattice parameters (Å, degrees): 3.964 5.264 10.144 90.00 90.00 90.00
Space group Cmm2 (No. 35)
One atom of each set of equivalent atoms:
Li: 0.000 0.000 0.000 (multiplicity 2)
Al: 0.000 0.500 0.766 (multiplicity 2)
Te: 0.000 0.000 0.573 (multiplicity 2)
Te: 0.000 0.500 0.198 (multiplicity 2)

=====

Record 14
## Li2AlTe (PBE)

Data for a relaxed Li2AlTe crystal.

Calculated values
N(E_F): 2.451 states/eV/cell
Offset from the most stable computed form: 16.2 kJ/mol of atoms
Spin magnetization: 0.000 μB per formula unit
Raw formation energy: -0.236 eV/atom
Total DFT energy (no corrections): -23.31 eV per cell
Calculated volume: 21.587 Å³ per atom

Lattice parameters (Å, degrees): 8.596 3.500 5.838 90.00 100.53 90.00
Space group C2/m (No. 12)
One atom of each set of equivalent atoms:
Li: 0.244 0.000 0.244 (multiplicity 4)
Al: 0.000 0.000 0.500 (multiplicity 2)
Te: 0.000 0.500 0.000 (multiplicity 2)

=====

Record 15
## Li2AlTe (PBE)

Data for a relaxed Li2AlTe crystal.

Calculated values
N(E_F): 5.677 states/eV/cell
Offset from the most stable computed form: 22.8 kJ/mol of atoms
Spin magnetization: 0.000 μB per formula unit
Raw formation energy: -0.167 eV/atom
Total DFT energy (no corrections): -34.14 eV per cell
Calculated volume: 21.029 Å³ per atom

Lattice parameters (Å, degrees): 3.3007 3.3007 26.7459 90.00 90.00 120.00
Space group R-3m (No. 166, hexagonal axes)
One atom of each set of equivalent atoms:
Li: 0.0000 0.0000 0.2492 (multiplicity 6)
Al: 0.0000 0.0000 0.0000 (multiplicity 3)
Te: 0.0000 0.0000 0.5000 (multiplicity 3)

=====

Record 16
## LiAlTe2 (PBE)

Data for a relaxed LiAlTe2 crystal.

Calculated values
N(E_F): 2.820 states/eV/cell
Spin magnetization: 0.000 μB per formula unit
Raw formation energy: -0.491 eV/atom
Total DFT energy (no corrections): -27.81 eV per cell
Calculated volume: 24.611 Å³ per atom

Lattice parameters (Å, degrees): 5.371 5.728 6.400 90.00 90.00 90.00
Space group Amm2 (No. 38)
One atom of each set of equivalent atoms:
Li: 0.000 0.000 0.000 (multiplicity 2)
Al: 0.500 0.000 0.685 (multiplicity 2)
Te: 0.000 0.000 0.539 (multiplicity 2)
Te: 0.500 0.000 0.106 (multiplicity 2)

=====

Record 17
## LiAlTe2 (PBE)

Data for a relaxed LiAlTe2 crystal.

Calculated values
N(E_F): 0.263 states/eV/cell
Spin magnetization: 0.000 μB per formula unit
Raw formation energy: -0.304 eV/atom
Total DFT energy (no corrections): -26.31 eV per cell
Calculated volume: 33.873 Å³ per atom

Lattice parameters (Å, degrees): 3.871 8.077 8.667 90.00 90.00 90.00
Space group Immm (No. 71)
One atom of each set of equivalent atoms:
Li: 0.000 0.000 0.000 (multiplicity 2)
Al: 0.000 0.500 0.000 (multiplicity 2)
Te: 0.000 0.229 0.500 (multiplicity 4)

=====

Record 18
## LiAlTe2 (PBE)

Data for a relaxed LiAlTe2 crystal.

Calculated values
N(E_F): 3.610 states/eV/cell
Spin magnetization: 0.000 μB per formula unit
Raw formation energy: -0.385 eV/atom
Total DFT energy (no corrections): -26.96 eV per cell
Calculated volume: 25.379 Å³ per atom

Lattice parameters (Å, degrees): 3.682 3.890 14.175 90.00 90.00 90.00
Space group Imm2 (No. 44)
One atom of each set of equivalent atoms:
Li: 0.000 0.000 0.000 (multiplicity 2)
Al: 0.000 0.500 0.243 (multiplicity 2)
Te: 0.000 0.000 0.592 (multiplicity 2)
Te: 0.000 0.500 0.829 (multiplicity 2)

=====

Record 19
## LiAl2Te4 (PBE)

Data for a relaxed LiAl2Te4 crystal.

Calculated values
N(E_F): 6.546 states/eV/cell
Spin magnetization: 0.000 μB per formula unit
Raw formation energy: -0.432 eV/atom
Total DFT energy (no corrections): -49.98 eV per cell
Calculated volume: 27.942 Å³ per atom

Lattice parameters (Å, degrees): 7.656 8.283 8.294 92.67 117.43 117.47
Space group P-1 (No. 2)
One atom of each set of equivalent atoms:
Li: 0.249 0.387 0.112 (multiplicity 2)
Al: 0.000 0.000 0.500 (multiplicity 1)
Al: 0.000 0.500 0.500 (multiplicity 1)
Al: 0.500 0.000 0.000 (multiplicity 1)
Al: 0.500 0.000 0.500 (multiplicity 1)
Te: 0.009 0.767 0.735 (multiplicity 2)
Te: 0.013 0.750 0.274 (multiplicity 2)
Te: 0.488 0.226 0.751 (multiplicity 2)
Te: 0.490 0.765 0.733 (multiplicity 2)

=====

Record 20
## LiAlTe2 (PBE)

Data for a relaxed LiAlTe2 crystal.

Calculated values
Spin magnetization: 0.000 μB per formula unit
Raw formation energy: -0.639 eV/atom
Total DFT energy (no corrections): -28.99 eV per cell
Calculated volume: 30.935 Å³ per atom

Lattice parameters (Å, degrees): 4.388 9.076 6.214 90.00 90.00 90.00
Space group Pmn2_1 (No. 31)
One atom of each set of equivalent atoms:
Li: 0.000 0.119 0.000 (multiplicity 2)
Al: 0.000 0.629 0.044 (multiplicity 2)
Te: 0.000 0.379 0.278 (multiplicity 2)
Te: 0.000 0.868 0.250 (multiplicity 2)